[1]
DFT (GGA-PBE) results for a relaxed structure of AcThVN4.

```
data_AcThVN4
_chemical_formula_sum 'Ac2 Th2 V2 N8'
_cell_length_a 5.488
_cell_length_b 5.506
_cell_length_c 7.149
_cell_angle_alpha 90.00
_cell_angle_beta 112.57
_cell_angle_gamma 90.00
_space_group_name_H-M_alt 'P 1'
_space_group_IT_number 1
_space_group_name_Hall 'P 1'
loop_
_atom_site_label
_atom_site_type_symbol
_atom_site_fract_x
_atom_site_fract_y
_atom_site_fract_z
_atom_site_occupancy
N1 N 0.564 0.250 0.127 1
N2 N 0.000 0.000 0.500 1
N3 N 0.500 0.500 0.500 1
N4 N 0.094 0.750 0.189 1
N5 N 0.500 0.000 0.500 1
N6 N 0.436 0.750 0.873 1
N7 N 0.906 0.250 0.811 1
N8 N 0.000 0.500 0.500 1
Ac1 Ac 0.108 0.250 0.216 1
Ac2 Ac 0.892 0.750 0.784 1
Th1 Th 0.391 0.250 0.781 1
Th2 Th 0.609 0.750 0.219 1
V1 V 0.767 0.250 0.534 1
V2 V 0.233 0.750 0.466 1
```

**Formation energy from raw total energies**: -1.2589 eV/atom
**Symmetry**: Cmcm

[2]
DFT (GGA-PBE) results for a relaxed structure of AcTh2VN4.

```
data_AcTh2VN4
_chemical_formula_sum 'Ac2 Th4 V2 N8'
_cell_length_a 3.601
_cell_length_b 6.400
_cell_length_c 12.213
_cell_angle_alpha 90.00
_cell_angle_beta 90.00
_cell_angle_gamma 106.34
_space_group_name_H-M_alt 'P 1'
_space_group_IT_number 1
_space_group_name_Hall 'P 1'
loop_
_atom_site_label
_atom_site_type_symbol
_atom_site_fract_x
_atom_site_fract_y
_atom_site_fract_z
_atom_site_occupancy
N1 N 0.000 0.000 0.000 1
N2 N 0.000 0.000 0.500 1
N3 N 0.414 0.829 0.750 1
N4 N 0.736 0.473 0.874 1
N5 N 0.586 0.171 0.250 1
N6 N 0.736 0.473 0.626 1
N7 N 0.264 0.527 0.126 1
N8 N 0.264 0.527 0.374 1
V1 V 0.825 0.650 0.750 1
V2 V 0.175 0.350 0.250 1
Th1 Th 0.632 0.265 0.452 1
Th2 Th 0.632 0.265 0.048 1
Th3 Th 0.368 0.735 0.548 1
Th4 Th 0.368 0.735 0.952 1
Ac1 Ac 0.914 0.829 0.250 1
Ac2 Ac 0.086 0.171 0.750 1
```

**Formation energy from raw total energies**: -1.2387 eV/atom
**Symmetry**: Cmcm

[3]
DFT (GGA-PBE) results for a relaxed structure of AcThWN4.

```
data_AcThWN4
_chemical_formula_sum 'Ac2 Th2 W2 N8'
_cell_length_a 5.657
_cell_length_b 5.657
_cell_length_c 7.103
_cell_angle_alpha 90.00
_cell_angle_beta 113.46
_cell_angle_gamma 90.00
_space_group_name_H-M_alt 'P 1'
_space_group_IT_number 1
_space_group_name_Hall 'P 1'
loop_
_atom_site_label
_atom_site_type_symbol
_atom_site_fract_x
_atom_site_fract_y
_atom_site_fract_z
_atom_site_occupancy
W1 W 0.743 0.250 0.486 1
W2 W 0.257 0.750 0.514 1
N1 N 0.071 0.750 0.142 1
N2 N 0.000 0.500 0.500 1
N3 N 0.929 0.250 0.858 1
N4 N 0.589 0.250 0.178 1
N5 N 0.500 0.000 0.500 1
N6 N 0.000 0.000 0.500 1
N7 N 0.500 0.500 0.500 1
N8 N 0.411 0.750 0.822 1
Th1 Th 0.105 0.250 0.211 1
Th2 Th 0.895 0.750 0.789 1
Ac1 Ac 0.604 0.750 0.208 1
Ac2 Ac 0.396 0.250 0.792 1
```

**Formation energy from raw total energies**: -1.1483 eV/atom
**Symmetry**: Cmcm

[4]
DFT (GGA-PBE) results for a relaxed structure of Ac3Th3WN8.

```
data_Ac3Th3WN8
_chemical_formula_sum 'Ac3 Th3 W1 N8'
_cell_length_a 7.176
_cell_length_b 7.176
_cell_length_c 7.410
_cell_angle_alpha 118.96
_cell_angle_beta 90.00
_cell_angle_gamma 120.00
_space_group_name_H-M_alt 'P 1'
_space_group_IT_number 1
_space_group_name_Hall 'P 1'
loop_
_atom_site_label
_atom_site_type_symbol
_atom_site_fract_x
_atom_site_fract_y
_atom_site_fract_z
_atom_site_occupancy
Ac1 Ac 0.500 0.500 0.000 1
Ac2 Ac 0.000 0.000 0.000 1
Ac3 Ac 0.000 0.500 0.000 1
N1 N 0.738 0.476 0.714 1
N2 N 0.207 0.413 0.690 1
N3 N 0.793 0.587 0.310 1
N4 N 0.207 0.983 0.689 1
N5 N 0.776 0.983 0.689 1
N6 N 0.793 0.017 0.311 1
N7 N 0.224 0.017 0.311 1
N8 N 0.262 0.524 0.286 1
W1 W 0.000 0.000 0.500 1
Th1 Th 0.500 0.000 0.500 1
Th2 Th 0.000 0.500 0.500 1
Th3 Th 0.500 0.500 0.500 1
```

**Formation energy from raw total energies**: -1.1368 eV/atom
**Symmetry**: R-3m

[5]
DFT (GGA-PBE) results for a relaxed structure of AcThZnN3.

```
data_AcThZnN3
_chemical_formula_sum 'Ac2 Th2 Zn2 N6'
_cell_length_a 3.638
_cell_length_b 7.840
_cell_length_c 7.522
_cell_angle_alpha 99.98
_cell_angle_beta 90.00
_cell_angle_gamma 90.00
_space_group_name_H-M_alt 'P 1'
_space_group_IT_number 1
_space_group_name_Hall 'P 1'
loop_
_atom_site_label
_atom_site_type_symbol
_atom_site_fract_x
_atom_site_fract_y
_atom_site_fract_z
_atom_site_occupancy
N1 N 0.750 0.428 0.143 1
N2 N 0.250 0.146 0.868 1
N3 N 0.750 0.854 0.132 1
N4 N 0.750 0.180 0.492 1
N5 N 0.250 0.572 0.857 1
N6 N 0.250 0.820 0.508 1
Ac1 Ac 0.750 0.818 0.789 1
Ac2 Ac 0.250 0.182 0.211 1
Zn1 Zn 0.250 0.087 0.598 1
Zn2 Zn 0.750 0.913 0.402 1
Th1 Th 0.750 0.351 0.821 1
Th2 Th 0.250 0.649 0.179 1
```

**Formation energy from raw total energies**: -0.9716 eV/atom
**Symmetry**: P2_1/m

[6]
DFT (GGA-PBE) results for a relaxed structure of AcTiN.

```
data_AcTiN
_chemical_formula_sum 'Ac3 Ti3 N3'
_cell_length_a 3.467
_cell_length_b 7.517
_cell_length_c 7.517
_cell_angle_alpha 120.00
_cell_angle_beta 90.00
_cell_angle_gamma 90.00
_space_group_name_H-M_alt 'P 1'
_space_group_IT_number 1
_space_group_name_Hall 'P 1'
loop_
_atom_site_label
_atom_site_type_symbol
_atom_site_fract_x
_atom_site_fract_y
_atom_site_fract_z
_atom_site_occupancy
Ac1 Ac 0.000 0.572 0.572 1
Ac2 Ac 0.000 0.428 0.000 1
Ac3 Ac 0.000 0.000 0.428 1
N1 N 0.000 0.000 0.000 1
N2 N 0.500 0.333 0.667 1
N3 N 0.500 0.667 0.333 1
Ti1 Ti 0.500 0.806 0.000 1
Ti2 Ti 0.500 0.194 0.194 1
Ti3 Ti 0.500 0.000 0.806 1
```

**Formation energy from raw total energies**: -0.0890 eV/atom
**Symmetry**: P-62m

[7]
DFT (GGA-PBE) results for a relaxed structure of AcTi4N6.

```
data_AcTi4N6
_chemical_formula_sum 'Ac2 Ti8 N12'
_cell_length_a 3.118
_cell_length_b 5.305
_cell_length_c 15.867
_cell_angle_alpha 90.00
_cell_angle_beta 90.00
_cell_angle_gamma 107.09
_space_group_name_H-M_alt 'P 1'
_space_group_IT_number 1
_space_group_name_Hall 'P 1'
loop_
_atom_site_label
_atom_site_type_symbol
_atom_site_fract_x
_atom_site_fract_y
_atom_site_fract_z
_atom_site_occupancy
Ti1 Ti 0.131 0.262 0.045 1
Ti2 Ti 0.131 0.262 0.455 1
Ti3 Ti 0.869 0.738 0.955 1
Ti4 Ti 0.398 0.796 0.128 1
Ti5 Ti 0.602 0.204 0.872 1
Ti6 Ti 0.869 0.738 0.545 1
Ti7 Ti 0.602 0.204 0.628 1
Ti8 Ti 0.398 0.796 0.372 1
Ac1 Ac 0.344 0.688 0.750 1
Ac2 Ac 0.656 0.312 0.250 1
N1 N 0.644 0.288 0.750 1
N2 N 0.500 0.000 0.500 1
N3 N 0.768 0.537 0.083 1
N4 N 0.232 0.463 0.917 1
N5 N 0.032 0.065 0.353 1
N6 N 0.232 0.463 0.583 1
N7 N 0.500 0.000 0.000 1
N8 N 0.768 0.537 0.417 1
N9 N 0.968 0.935 0.853 1
N10 N 0.968 0.935 0.647 1
N11 N 0.032 0.065 0.147 1
N12 N 0.356 0.712 0.250 1
```

**Formation energy from raw total energies**: -1.4140 eV/atom
**Symmetry**: Cmcm

[8]
DFT (GGA-PBE) results for a relaxed structure of Ac4TiN5.

```
data_Ac4TiN5
_chemical_formula_sum 'Ac4 Ti1 N5'
_cell_length_a 5.556
_cell_length_b 6.444
_cell_length_c 6.444
_cell_angle_alpha 79.29
_cell_angle_beta 64.46
_cell_angle_gamma 64.46
_space_group_name_H-M_alt 'P 1'
_space_group_IT_number 1
_space_group_name_Hall 'P 1'
loop_
_atom_site_label
_atom_site_type_symbol
_atom_site_fract_x
_atom_site_fract_y
_atom_site_fract_z
_atom_site_occupancy
Ti1 Ti 0.066 0.000 0.000 1
N1 N 0.265 0.829 0.657 1
N2 N 0.921 0.343 0.829 1
N3 N 0.750 0.171 0.343 1
N4 N 0.093 0.657 0.171 1
N5 N 0.399 0.000 0.000 1
Ac1 Ac 0.804 0.812 0.588 1
Ac2 Ac 0.204 0.188 0.412 1
Ac3 Ac 0.392 0.412 0.812 1
Ac4 Ac 0.616 0.588 0.188 1
```

**Formation energy from raw total energies**: -1.0741 eV/atom
**Symmetry**: I4

[9]
DFT (GGA-PBE) results for a relaxed structure of Ac2TiN.

```
data_Ac2TiN
_chemical_formula_sum 'Ac2 Ti1 N1'
_cell_length_a 3.657
_cell_length_b 3.657
_cell_length_c 10.018
_cell_angle_alpha 79.48
_cell_angle_beta 79.48
_cell_angle_gamma 60.00
_space_group_name_H-M_alt 'P 1'
_space_group_IT_number 1
_space_group_name_Hall 'P 1'
loop_
_atom_site_label
_atom_site_type_symbol
_atom_site_fract_x
_atom_site_fract_y
_atom_site_fract_z
_atom_site_occupancy
N1 N 0.500 0.500 0.500 1
Ti1 Ti 0.000 0.000 0.000 1
Ac1 Ac 0.113 0.113 0.660 1
Ac2 Ac 0.887 0.887 0.340 1
```

**Formation energy from raw total energies**: 0.0640 eV/atom
**Symmetry**: R-3m

[10]
DFT (GGA-PBE) results for a relaxed structure of Ac2TiN4.

```
data_Ac2TiN4
_chemical_formula_sum 'Ac2 Ti1 N4'
_cell_length_a 4.046
_cell_length_b 4.046
_cell_length_c 7.209
_cell_angle_alpha 106.30
_cell_angle_beta 106.30
_cell_angle_gamma 90.00
_space_group_name_H-M_alt 'P 1'
_space_group_IT_number 1
_space_group_name_Hall 'P 1'
loop_
_atom_site_label
_atom_site_type_symbol
_atom_site_fract_x
_atom_site_fract_y
_atom_site_fract_z
_atom_site_occupancy
N1 N 0.000 0.500 0.000 1
N2 N 0.161 0.161 0.322 1
N3 N 0.500 0.000 0.000 1
N4 N 0.839 0.839 0.678 1
Ac1 Ac 0.359 0.359 0.717 1
Ac2 Ac 0.641 0.641 0.283 1
Ti1 Ti 0.000 0.000 0.000 1
```

**Formation energy from raw total energies**: -1.0063 eV/atom
**Symmetry**: I4/mmm

no.,total magnetization (μB/f.u.)
1,0.00
2,0.72
3,0.00
4,0.00
5,0.00
6,0.00
7,0.00
8,0.00
9,2.43
10,1.10